Record 1
# BaY2Rh PBE optimized geometry
data_BaY2Rh
_cell_length_a 3.675
_cell_length_b 5.262
_cell_length_c 12.958
_cell_angle_alpha 90.00
_cell_angle_beta 90.00
_cell_angle_gamma 90.00
_symmetry_space_group_name_H-M 'P 1'
_symmetry_Int_Tables_number 1
loop_
_symmetry_equiv_pos_as_xyz
'x,y,z'
loop_
_atom_site_label
_atom_site_type_symbol
_atom_site_fract_x
_atom_site_fract_y
_atom_site_fract_z
_atom_site_occupancy
Ba1 Ba 0.000 0.000 0.000 1
Ba2 Ba 0.500 0.500 0.500 1
Y1 Y 0.000 0.000 0.644 1
Y2 Y 0.000 0.500 0.811 1
Y3 Y 0.500 0.000 0.311 1
Y4 Y 0.500 0.500 0.144 1
Rh1 Rh 0.000 0.500 0.296 1
Rh2 Rh 0.500 0.000 0.796 1
# N(E_F) (states/eV per cell): 6.2
# Electronic total energy (eV for the cell shown): -45.696
# Total magnetic moment (μB/f.u.): 0.00
# E_form (eV/atom): -0.16

=====

Record 2
# BaY2Rh PBE optimized geometry
data_BaY2Rh
_cell_length_a 4.540
_cell_length_b 4.757
_cell_length_c 5.297
_cell_angle_alpha 90.00
_cell_angle_beta 90.00
_cell_angle_gamma 90.00
_symmetry_space_group_name_H-M 'P 1'
_symmetry_Int_Tables_number 1
loop_
_symmetry_equiv_pos_as_xyz
'x,y,z'
loop_
_atom_site_label
_atom_site_type_symbol
_atom_site_fract_x
_atom_site_fract_y
_atom_site_fract_z
_atom_site_occupancy
Ba1 Ba 0.000 0.000 0.000 1
Y1 Y 0.000 0.500 0.500 1
Y2 Y 0.500 0.000 0.500 1
Rh1 Rh 0.500 0.500 0.000 1
# N(E_F) (states/eV per cell): 4.6
# Electronic total energy (eV for the cell shown): -21.446
# Total magnetic moment (μB/f.u.): 0.00
# E_form (eV/atom): 0.19

=====

Record 3
# BaY2Rh PBE optimized geometry
data_BaY2Rh
_cell_length_a 8.097
_cell_length_b 8.097
_cell_length_c 12.243
_cell_angle_alpha 90.00
_cell_angle_beta 90.00
_cell_angle_gamma 90.00
_symmetry_space_group_name_H-M 'P 1'
_symmetry_Int_Tables_number 1
loop_
_symmetry_equiv_pos_as_xyz
'x,y,z'
loop_
_atom_site_label
_atom_site_type_symbol
_atom_site_fract_x
_atom_site_fract_y
_atom_site_fract_z
_atom_site_occupancy
Ba1 Ba 0.000 0.000 0.000 1
Ba2 Ba 0.000 0.500 0.250 1
Ba3 Ba 0.500 0.000 0.750 1
Ba4 Ba 0.500 0.500 0.500 1
Y1 Y 0.001 0.250 0.625 1
Y2 Y 0.250 0.501 0.875 1
Y3 Y 0.250 0.999 0.375 1
Y4 Y 0.499 0.250 0.125 1
Y5 Y 0.501 0.750 0.125 1
Y6 Y 0.750 0.001 0.375 1
Y7 Y 0.750 0.499 0.875 1
Y8 Y 0.999 0.750 0.625 1
Rh1 Rh 0.000 0.000 0.500 1
Rh2 Rh 0.000 0.500 0.750 1
Rh3 Rh 0.500 0.000 0.250 1
Rh4 Rh 0.500 0.500 0.000 1
# N(E_F) (states/eV per cell): 46.8
# Electronic total energy (eV for the cell shown): -84.644
# Total magnetic moment (μB/f.u.): 0.00
# E_form (eV/atom): 0.26

=====

Record 4
# BaY2Rh PBE optimized geometry
data_BaY2Rh
_cell_length_a 4.486
_cell_length_b 4.486
_cell_length_c 10.994
_cell_angle_alpha 90.00
_cell_angle_beta 90.00
_cell_angle_gamma 90.00
_symmetry_space_group_name_H-M 'P 1'
_symmetry_Int_Tables_number 1
loop_
_symmetry_equiv_pos_as_xyz
'x,y,z'
loop_
_atom_site_label
_atom_site_type_symbol
_atom_site_fract_x
_atom_site_fract_y
_atom_site_fract_z
_atom_site_occupancy
Ba1 Ba 0.000 0.000 0.000 1
Ba2 Ba 0.500 0.500 0.500 1
Y1 Y 0.000 0.000 0.500 1
Y2 Y 0.000 0.500 0.250 1
Y3 Y 0.500 0.000 0.750 1
Y4 Y 0.500 0.500 0.000 1
Rh1 Rh 0.000 0.500 0.750 1
Rh2 Rh 0.500 0.000 0.250 1
# N(E_F) (states/eV per cell): 7.4
# Electronic total energy (eV for the cell shown): -42.832
# Total magnetic moment (μB/f.u.): 0.00
# E_form (eV/atom): 0.20

=====

Record 5
# BaY2Rh PBE optimized geometry
data_BaY2Rh
_cell_length_a 3.838
_cell_length_b 4.154
_cell_length_c 17.170
_cell_angle_alpha 90.00
_cell_angle_beta 90.00
_cell_angle_gamma 90.00
_symmetry_space_group_name_H-M 'P 1'
_symmetry_Int_Tables_number 1
loop_
_symmetry_equiv_pos_as_xyz
'x,y,z'
loop_
_atom_site_label
_atom_site_type_symbol
_atom_site_fract_x
_atom_site_fract_y
_atom_site_fract_z
_atom_site_occupancy
Ba1 Ba 0.000 0.000 0.000 1
Ba2 Ba 0.000 0.500 0.500 1
Y1 Y 0.000 0.000 0.309 1
Y2 Y 0.000 0.500 0.809 1
Y3 Y 0.500 0.000 0.676 1
Y4 Y 0.500 0.500 0.176 1
Rh1 Rh 0.500 0.000 0.832 1
Rh2 Rh 0.500 0.500 0.332 1
# N(E_F) (states/eV per cell): 7.9
# Electronic total energy (eV for the cell shown): -46.533
# Total magnetic moment (μB/f.u.): 0.00
# E_form (eV/atom): -0.27

=====

Record 6
# BaY2Rh PBE optimized geometry
data_BaY2Rh
_cell_length_a 12.234
_cell_length_b 3.849
_cell_length_c 6.751
_cell_angle_alpha 90.00
_cell_angle_beta 121.38
_cell_angle_gamma 90.00
_symmetry_space_group_name_H-M 'P 1'
_symmetry_Int_Tables_number 1
loop_
_symmetry_equiv_pos_as_xyz
'x,y,z'
loop_
_atom_site_label
_atom_site_type_symbol
_atom_site_fract_x
_atom_site_fract_y
_atom_site_fract_z
_atom_site_occupancy
Ba1 Ba 0.000 0.000 0.000 1
Ba2 Ba 0.500 0.500 0.000 1
Y1 Y 0.135 0.500 0.632 1
Y2 Y 0.325 0.500 0.331 1
Y3 Y 0.635 0.000 0.632 1
Y4 Y 0.825 0.000 0.331 1
Rh1 Rh 0.267 0.000 0.547 1
Rh2 Rh 0.767 0.500 0.547 1
# N(E_F) (states/eV per cell): 10.3
# Electronic total energy (eV for the cell shown): -45.919
# Total magnetic moment (μB/f.u.): 0.00
# E_form (eV/atom): -0.19

=====

Record 7
# BaY2Rh PBE optimized geometry
data_BaY2Rh
_cell_length_a 3.918
_cell_length_b 3.918
_cell_length_c 8.748
_cell_angle_alpha 90.00
_cell_angle_beta 90.00
_cell_angle_gamma 90.00
_symmetry_space_group_name_H-M 'P 1'
_symmetry_Int_Tables_number 1
loop_
_symmetry_equiv_pos_as_xyz
'x,y,z'
loop_
_atom_site_label
_atom_site_type_symbol
_atom_site_fract_x
_atom_site_fract_y
_atom_site_fract_z
_atom_site_occupancy
Ba1 Ba 0.000 0.000 0.000 1
Y1 Y 0.000 0.000 0.398 1
Y2 Y 0.500 0.500 0.651 1
Rh1 Rh 0.500 0.500 0.333 1
# N(E_F) (states/eV per cell): 5.0
# Electronic total energy (eV for the cell shown): -23.011
# Total magnetic moment (μB/f.u.): 0.01
# E_form (eV/atom): -0.20

=====

Record 8
# BaY2Rh PBE optimized geometry
data_BaY2Rh
_cell_length_a 7.671
_cell_length_b 7.671
_cell_length_c 7.671
_cell_angle_alpha 90.00
_cell_angle_beta 90.00
_cell_angle_gamma 90.00
_symmetry_space_group_name_H-M 'P 1'
_symmetry_Int_Tables_number 1
loop_
_symmetry_equiv_pos_as_xyz
'x,y,z'
loop_
_atom_site_label
_atom_site_type_symbol
_atom_site_fract_x
_atom_site_fract_y
_atom_site_fract_z
_atom_site_occupancy
Ba1 Ba 0.000 0.000 0.000 1
Ba2 Ba 0.000 0.500 0.500 1
Ba3 Ba 0.500 0.000 0.500 1
Ba4 Ba 0.500 0.500 0.000 1
Y1 Y 0.000 0.000 0.500 1
Y2 Y 0.000 0.500 0.000 1
Y3 Y 0.250 0.250 0.750 1
Y4 Y 0.250 0.750 0.250 1
Y5 Y 0.500 0.000 0.000 1
Y6 Y 0.500 0.500 0.500 1
Y7 Y 0.750 0.250 0.250 1
Y8 Y 0.750 0.750 0.750 1
Rh1 Rh 0.250 0.250 0.250 1
Rh2 Rh 0.250 0.750 0.750 1
Rh3 Rh 0.750 0.250 0.750 1
Rh4 Rh 0.750 0.750 0.250 1
# N(E_F) (states/eV per cell): 26.6
# Electronic total energy (eV for the cell shown): -84.373
# Total magnetic moment (μB/f.u.): 0.00
# E_form (eV/atom): 0.28

=====

| no. | energy relative to the lowest polymorph listed for this composition (meV/atom) |
| --- | --- |
| 1 | 186.8 |
| 2 | 537.2 |
| 3 | 608.6 |
| 4 | 544.8 |
| 5 | 82.2 |
| 6 | 159.0 |
| 7 | 146.0 |
| 8 | 625.5 |